WCl2F | GGA+U | optimized geometry

## Properties
For the offset from the most stable computed form, the calculation gives 0.5290 eV/atom. Its space group is No. 166. The calculation puts the density of states at the Fermi level at 6.01 states/eV/f.u. As for the volume: 90 Å³/cell.

a b c (Å): 8.396 8.396 8.396
angles (deg): 24.54 24.54 24.54
Atoms (fractional coordinates):
W 0.000 0.000 0.000
Cl 0.091 0.091 0.091
Cl 0.909 0.909 0.909
F 0.500 0.500 0.500